Below is a relaxed structure of Er2NiPb, with properties calculated at the PBE level.

As for the volume: 204.8 Å³/cell. The total moment comes out at 0.0 μB per cell. As for the electronic total energy: -4.83 eV per atom. The value obtained for the energy of formation from the pure elements is -69.7 kJ/mol of formula units.

The space group is Imm2 (No. 44) and the conventional cell measures 3.523, 9.452 and 6.149 Å, with angles of 90.00, 90.00 and 90.00 degrees. The inequivalent atoms are Er at (0.000, 0.179, 0.000), Ni at (0.000, 0.500, 0.699) and Pb at (0.000, 0.500, 0.136).